[1]
Compound: CsLi4U3O12
Source: the Alexandria database
Functional: PBE
Structure: relaxed

Output
The value obtained for the total energy is -7.671 eV per atom. For the raw formation energy, the calculation gives -51.6 eV/f.u. The value obtained for the total magnetization is 0.03 μB per atom.

Cell and atoms, written as CIF:
```
data_CsLi4U3O12
_cell_length_a 11.5687
_cell_length_b 11.5687
_cell_length_c 8.2977
_cell_angle_alpha 90.00
_cell_angle_beta 90.00
_cell_angle_gamma 120.00
_symmetry_space_group_name_H-M 'R 3 2'
_symmetry_Int_Tables_number 155
_symmetry_space_group_name_Hall 'R 3 2"'
loop_
_atom_site_label
_atom_site_fract_x
_atom_site_fract_y
_atom_site_fract_z
Cs1 0.0000 0.0000 0.0000
Li1 0.0000 0.0000 0.5000
Li2 0.0000 0.4380 0.5000
U1 0.0000 0.5593 0.0000
O1 0.0000 0.6089 0.5000
O2 0.0000 0.8327 0.5000
O3 0.0646 0.2404 0.2024
```



[2]
Compound: Cs2Li4UO6
Source: the Alexandria database
Functional: PBE
Structure: relaxed

Output
The value obtained for the total energy is -6.002 eV per atom. For the raw formation energy, the calculation gives -27.6 eV/f.u. The value obtained for the total magnetization is 0.00 μB per atom.

Cell and atoms, written as CIF:
```
data_Cs2Li4UO6
_cell_length_a 6.2494
_cell_length_b 6.2494
_cell_length_c 5.8588
_cell_angle_alpha 90.00
_cell_angle_beta 90.00
_cell_angle_gamma 120.00
_symmetry_space_group_name_H-M 'P -3 m 1'
_symmetry_Int_Tables_number 164
_symmetry_space_group_name_Hall '-P 3 2"'
loop_
_atom_site_label
_atom_site_fract_x
_atom_site_fract_y
_atom_site_fract_z
Cs1 0.3333 0.6667 0.4331
Li1 0.0000 0.0000 0.5000
Li2 0.0000 0.5000 0.0000
U1 0.0000 0.0000 0.0000
O1 0.1613 0.3226 0.8028
```